(1)
A geometry-optimized Co3HgTe structure, computed with PBEsol.

POSCAR file:
```
Co3HgTe
1.0
4.585 0.000 0.000
0.000 4.585 0.000
0.000 0.000 4.585
Co Hg Te
3 1 1
direct
0.000 0.000 0.500 Co
0.000 0.500 0.000 Co
0.500 0.000 0.000 Co
0.500 0.500 0.500 Hg
0.000 0.000 0.000 Te
```

- size of the total moment (Bohr magnetons per cell) = 3.81
- density of states at the Fermi level (states/eV/f.u.) = 10.36
- formation energy from raw total energies (eV per atom) = 1.11
- total energy (Ha/atom) = -0.160

(2)
A geometry-optimized TlCoHg2 structure, computed with PBEsol.

POSCAR file:
```
TlCoHg2
1.0
2.997 0.000 0.000
0.000 2.107 6.525
0.000 -2.107 6.525
Tl Co Hg
1 1 2
direct
0.000 0.000 0.000 Tl
0.500 0.482 0.482 Co
0.000 0.312 0.312 Hg
0.500 0.682 0.682 Hg
```

- energy relative to the elements (eV/atom) = 0.28
- size of the total moment (Bohr magnetons per cell) = 0.00
- density of states at the Fermi level (states/eV/f.u.) = 2.65
- total energy (Ha/atom) = -0.095
- energy above the lowest structure with this stoichiometry (eV/f.u.) = 0.09

(3)
A geometry-optimized TlCoHg2 structure, computed with PBEsol.

POSCAR file:
```
TlCoHg2
1.0
6.720 -1.466 0.000
6.720 1.466 0.000
-1.441 0.000 4.171
Tl Co Hg
1 1 2
direct
0.000 0.000 0.000 Tl
0.679 0.679 0.179 Co
0.184 0.184 0.684 Hg
0.355 0.355 0.356 Hg
```

- energy relative to the elements (eV/atom) = 0.26
- size of the total moment (Bohr magnetons per cell) = 0.76
- density of states at the Fermi level (states/eV/f.u.) = 2.85
- total energy (Ha/atom) = -0.096
- energy above the lowest structure with this stoichiometry (eV/f.u.) = 0.00

(4)
A geometry-optimized TlCoHg structure, computed with PBEsol.

POSCAR file:
```
TlCoHg
1.0
0.000 3.183 3.183
3.183 0.000 3.183
3.183 3.183 0.000
Tl Co Hg
1 1 1
direct
0.000 0.000 0.000 Tl
0.250 0.250 0.250 Co
0.750 0.750 0.750 Hg
```

- energy relative to the elements (eV/atom) = 0.85
- size of the total moment (Bohr magnetons per cell) = 1.49
- density of states at the Fermi level (states/eV/f.u.) = 6.82
- total energy (Ha/atom) = -0.103
- energy above the lowest structure with this stoichiometry (eV/f.u.) = 1.26